1.
Material: RbTl12Pb7
Method: DFT, PBE
State: optimized geometry

Cell: 10.1512 10.1512 10.1512 Å, 109.47 109.47 109.47°
Last column: nearest neighbours and their distance in Å.
Fractional coordinates of all 20 atoms:
Rb: 0.0000 0.0000 0.0000  12 Tl 5.06, 8 Pb 5.08
Tl: 0.1067 0.7530 0.3538  4 Pb 3.17-3.43, 1 Tl 3.43
Tl: 0.2470 0.3538 0.6008  4 Pb 3.17-3.43, 1 Tl 3.43
Tl: 0.2470 0.6462 0.8933  4 Pb 3.17-3.43, 1 Tl 3.43
Tl: 0.3538 0.1067 0.7530  4 Pb 3.17-3.43, 1 Tl 3.43
Tl: 0.3538 0.6008 0.2470  4 Pb 3.17-3.43, 1 Tl 3.43
Tl: 0.3992 0.7530 0.6462  4 Pb 3.17-3.43, 1 Tl 3.43
Tl: 0.6008 0.2470 0.3538  4 Pb 3.17-3.43, 1 Tl 3.43
Tl: 0.6462 0.3992 0.7530  4 Pb 3.17-3.43, 1 Tl 3.43
Tl: 0.6462 0.8933 0.2470  4 Pb 3.17-3.43, 1 Tl 3.43
Tl: 0.7530 0.3538 0.1067  4 Pb 3.17-3.43, 1 Tl 3.43
Tl: 0.7530 0.6462 0.3992  4 Pb 3.17-3.43, 1 Tl 3.43
Tl: 0.8933 0.2470 0.6462  4 Pb 3.17-3.43, 1 Tl 3.43
Pb: 0.0000 0.0000 0.5000  6 Tl 3.17
Pb: 0.0000 0.5000 0.0000  6 Tl 3.17
Pb: 0.0000 0.5000 0.5000  8 Tl 3.36-3.43
Pb: 0.5000 0.0000 0.0000  6 Tl 3.17
Pb: 0.5000 0.0000 0.5000  8 Tl 3.36-3.43
Pb: 0.5000 0.5000 0.0000  8 Tl 3.36-3.43
Pb: 0.5000 0.5000 0.5000  6 Tl 3.17

Results
As for the formation enthalpy at 0 K: 3.05 eV/f.u. Its total energy is -2.61 eV/atom. The total magnetic moment is 0.00 μB/f.u.

***

2.
Material: Sc2AlHg3
Method: DFT, PBE
State: optimized geometry

Cell: 9.4508 8.8057 5.7443 Å, 77.89 65.65 36.46°
Last column: nearest neighbours and their distance in Å.
Fractional coordinates of all 12 atoms:
Sc: 0.2452 0.7548 0.7548  10 Hg 3.14-3.26, 2 Sc 3.19-3.32, 2 Al 3.22
Sc: 0.2500 0.2500 0.2500  8 Hg 3.14-3.15, 4 Al 3.17, 2 Sc 3.26
Sc: 0.7500 0.7500 0.7500  8 Hg 3.14-3.15, 4 Al 3.17, 2 Sc 3.26
Sc: 0.7548 0.2452 0.2452  10 Hg 3.14-3.26, 2 Sc 3.19-3.32, 2 Al 3.22
Al: 0.3317 0.3317 0.6683  3 Hg 2.63-2.64
Al: 0.6683 0.6683 0.3317  3 Hg 2.63-2.64
Hg: 0.1706 0.1706 0.8294  1 Al 2.64, 2 Hg 2.83
Hg: 0.1746 0.6532 0.3468  1 Al 2.63, 2 Hg 2.82-2.83
Hg: 0.3468 0.8254 0.1746  1 Al 2.63, 2 Hg 2.82-2.83
Hg: 0.6532 0.1746 0.8254  1 Al 2.63, 2 Hg 2.82-2.83
Hg: 0.8254 0.3468 0.6532  1 Al 2.63, 2 Hg 2.82-2.83
Hg: 0.8294 0.8294 0.1706  1 Al 2.64, 2 Hg 2.83

Results
As for the formation enthalpy at 0 K: -1.85 eV/f.u. Its total energy is -3.19 eV/atom. The total magnetic moment is 0.69 μB/f.u.

***

3.
Material: CeNd2SmP4
Method: DFT, PBE
State: optimized geometry

Cell: 7.1480 4.1304 7.1535 Å, 90.00 109.39 90.00°
Last column: nearest neighbours and their distance in Å.
Fractional coordinates of all 8 atoms:
Ce: 0.0000 0.0000 0.0000  6 P 2.88-2.89
Nd: 0.0000 0.5000 0.5000  6 P 2.93-2.94
Nd: 0.5000 0.0000 0.5000  6 P 2.95-2.96
Sm: 0.5000 0.5000 0.0000  6 P 2.90-2.91
P: 0.2457 0.5000 0.2432  2 Ce 2.89, 1 Sm 2.90, 3 Nd 2.93-2.95
P: 0.2489 0.0000 0.7559  1 Ce 2.88, 2 Sm 2.91, 3 Nd 2.94-2.96
P: 0.7511 0.0000 0.2441  1 Ce 2.88, 2 Sm 2.91, 3 Nd 2.94-2.96
P: 0.7543 0.5000 0.7568  2 Ce 2.89, 1 Sm 2.90, 3 Nd 2.93-2.95

Results
As for the formation enthalpy at 0 K: -12.36 eV/f.u. Its total energy is -6.77 eV/atom. The total magnetic moment is 0.42 μB/f.u.

***

4.
Material: NbTcNF2
Method: DFT, PBE
State: optimized geometry

Cell: 4.1767 4.1767 3.8797 Å, 90.00 90.00 90.00°
Last column: nearest neighbours and their distance in Å.
Fractional coordinates of all 5 atoms:
Nb: 0.0000 0.0000 0.0000  8 F 2.85, 4 N 2.95
Tc: 0.5000 0.5000 0.5000  2 N 1.94, 4 F 2.09
N: 0.5000 0.5000 0.0000  2 Tc 1.94
F: 0.0000 0.5000 0.5000  2 Tc 2.09
F: 0.5000 0.0000 0.5000  2 Tc 2.09

Results
Its total energy is -6.57 eV/atom. For the raw formation energy, the calculation gives -0.0706 eV/atom. The energy above the most stable polymorph in this dataset is 8.12 kcal/mol of atoms. The total magnetic moment is 2.81 μB/f.u.

***

5.
Material: Be23Cr6
Method: DFT, PBE
State: optimized geometry

Cell: 7.0206 7.0206 7.0206 Å, 60.00 60.00 60.00°
Last column: nearest neighbours and their distance in Å.
Fractional coordinates of all 29 atoms:
Be: 0.0000 0.0000 0.0000  8 Be 2.06
Be: 0.0000 0.0000 0.5000  8 Be 2.03-2.18
Be: 0.0000 0.5000 0.0000  8 Be 2.03-2.18
Be: 0.0000 0.5000 0.5000  8 Be 2.03-2.18
Be: 0.0110 0.3297 0.3297  9 Be 2.03-2.24
Be: 0.1201 0.1201 0.1201  7 Be 2.06-2.20
Be: 0.1201 0.1201 0.6398  7 Be 2.06-2.20
Be: 0.1201 0.6398 0.1201  7 Be 2.06-2.20
Be: 0.3297 0.0110 0.3297  9 Be 2.03-2.24
Be: 0.3297 0.3297 0.0110  9 Be 2.03-2.24
Be: 0.3297 0.3297 0.3297  9 Be 2.03-2.24
Be: 0.3602 0.8799 0.8799  7 Be 2.06-2.20
Be: 0.5000 0.0000 0.0000  8 Be 2.03-2.18
Be: 0.5000 0.0000 0.5000  8 Be 2.03-2.18
Be: 0.5000 0.5000 0.0000  8 Be 2.03-2.18
Be: 0.6398 0.1201 0.1201  7 Be 2.06-2.20
Be: 0.6703 0.6703 0.6703  9 Be 2.03-2.24
Be: 0.6703 0.6703 0.9890  9 Be 2.03-2.24
Be: 0.6703 0.9890 0.6703  9 Be 2.03-2.24
Be: 0.8799 0.3602 0.8799  7 Be 2.06-2.20
Be: 0.8799 0.8799 0.3602  7 Be 2.06-2.20
Be: 0.8799 0.8799 0.8799  7 Be 2.06-2.20
Be: 0.9890 0.6703 0.6703  9 Be 2.03-2.24
Cr: 0.3131 0.3131 0.6869  12 Be 2.40-2.56, 4 Cr 2.62
Cr: 0.3131 0.6869 0.3131  12 Be 2.40-2.56, 4 Cr 2.62
Cr: 0.3131 0.6869 0.6869  12 Be 2.40-2.56, 4 Cr 2.62
Cr: 0.6869 0.3131 0.3131  12 Be 2.40-2.56, 4 Cr 2.62
Cr: 0.6869 0.3131 0.6869  12 Be 2.40-2.56, 4 Cr 2.62
Cr: 0.6869 0.6869 0.3131  12 Be 2.40-2.56, 4 Cr 2.62

Results
As for the formation enthalpy at 0 K: -3.02 eV/f.u. Its total energy is -5.05 eV/atom. The total magnetic moment is 0.00 μB/f.u.

***

6.
Material: InSiSe2
Method: DFT, PBE
State: optimized geometry

Cell: 3.4183 3.7166 15.2798 Å, 90.00 90.00 90.00°
Last column: nearest neighbours and their distance in Å.
Fractional coordinates of all 8 atoms:
In: 0.0000 0.0000 0.0000  6 Se 3.12-3.44, 2 In 3.42
In: 0.5000 0.5000 0.5000  6 Se 3.12-3.44, 2 In 3.42
Si: 0.0000 0.5000 0.2428  6 Se 2.55-2.73
Si: 0.5000 0.0000 0.7428  6 Se 2.55-2.73
Se: 0.0000 0.0000 0.6194  2 Si 2.55
Se: 0.0000 0.5000 0.8108  4 Si 2.73
Se: 0.5000 0.0000 0.3108  4 Si 2.73
Se: 0.5000 0.5000 0.1194  2 Si 2.55

Results
Its total energy is -3.79 eV/atom. For the raw formation energy, the calculation gives -0.0123 eV/atom. The total magnetic moment is 0.00 μB/f.u.

***

7.
Material: Mg3Zn2In2
Method: DFT, PBE
State: optimized geometry

Cell: 4.4544 5.4297 7.3094 Å, 94.02 107.46 113.75°
Last column: nearest neighbours and their distance in Å.
Fractional coordinates of all 7 atoms:
Mg: 0.0000 0.0000 0.0000  2 Zn 2.81
Mg: 0.1958 0.6840 0.7093  4 Zn 2.82-3.13, 3 In 3.05-3.14, 1 Mg 3.09
Mg: 0.8042 0.3160 0.2907  4 Zn 2.82-3.13, 3 In 3.05-3.14, 1 Mg 3.09
Zn: 0.1788 0.9611 0.3963  2 Zn 2.63-2.65, 2 Mg 2.81-2.82, 2 In 2.90-2.93
Zn: 0.8212 0.0389 0.6037  2 Zn 2.63-2.65, 2 Mg 2.81-2.82, 2 In 2.90-2.93
In: 0.4211 0.6686 0.1729  3 Zn 2.90-3.16, 6 Mg 3.05-3.25
In: 0.5789 0.3314 0.8271  3 Zn 2.90-3.16, 6 Mg 3.05-3.25

Results
As for the formation enthalpy at 0 K: -0.20 eV/f.u. Its total energy is -1.86 eV/atom. The total magnetic moment is 0.00 μB/f.u.

***

8.
Material: SrBeSi2Pt
Method: DFT, PBE
State: optimized geometry

Cell: 4.1076 4.1076 10.3551 Å, 90.00 90.00 90.00°
Last column: nearest neighbours and their distance in Å.
Fractional coordinates of all 10 atoms:
Sr: 0.0000 0.0000 0.0000  8 Si 3.17, 4 Pt 3.30, 4 Be 3.30
Sr: 0.5000 0.5000 0.5000  8 Si 3.17, 4 Pt 3.30, 4 Be 3.30
Be: 0.0000 0.5000 0.2500  4 Si 2.45
Be: 0.5000 0.0000 0.7500  4 Si 2.45
Si: 0.0000 0.0000 0.3783  2 Be 2.45, 2 Pt 2.45, 1 Si 2.52
Si: 0.0000 0.0000 0.6217  2 Be 2.45, 2 Pt 2.45, 1 Si 2.52
Si: 0.5000 0.5000 0.1217  2 Pt 2.45, 2 Be 2.45, 1 Si 2.52
Si: 0.5000 0.5000 0.8783  2 Be 2.45, 2 Pt 2.45, 1 Si 2.52
Pt: 0.0000 0.5000 0.7500  4 Si 2.45
Pt: 0.5000 0.0000 0.2500  4 Si 2.45

Results
Its total energy is -5.01 eV/atom. For the raw formation energy, the calculation gives -0.5474 eV/atom. The total magnetic moment is 0.00 μB/f.u.

***

9.
Material: LiRhAu4
Method: DFT, PBE
State: optimized geometry

Cell: 5.4279 5.4279 5.4279 Å, 60.00 60.00 60.00°
Last column: nearest neighbours and their distance in Å.
Fractional coordinates of all 6 atoms:
Li: 0.0000 0.0000 0.0000  12 Au 3.18, 4 Rh 3.32
Rh: 0.7500 0.7500 0.7500  12 Au 3.18, 4 Li 3.32
Au: 0.3750 0.3750 0.3750  6 Au 2.71
Au: 0.3750 0.3750 0.8751  6 Au 2.71
Au: 0.3750 0.8751 0.3750  6 Au 2.71
Au: 0.8751 0.3750 0.3750  6 Au 2.71

Results
As for the formation enthalpy at 0 K: 0.75 eV/f.u. Its total energy is -3.60 eV/atom. The total magnetic moment is 0.00 μB/f.u.

***

10.
Material: ErCdGe2
Method: DFT, PBE
State: optimized geometry

Cell: 4.5748 4.5748 14.5683 Å, 90.00 90.00 120.00°
Last column: nearest neighbours and their distance in Å.
Fractional coordinates of all 12 atoms:
Er: 0.0000 0.0000 0.0000  6 Ge 2.94
Er: 0.3333 0.6667 0.6667  6 Ge 2.94
Er: 0.6667 0.3333 0.3333  6 Ge 2.94
Cd: 0.0000 0.0000 0.5000  6 Ge 2.88
Cd: 0.3333 0.6667 0.1667  6 Ge 2.88
Cd: 0.6667 0.3333 0.8333  6 Ge 2.88
Ge: 0.0000 0.0000 0.2450  3 Cd 2.88, 3 Er 2.94
Ge: 0.0000 0.0000 0.7550  3 Cd 2.88, 3 Er 2.94
Ge: 0.3333 0.6667 0.4217  3 Cd 2.88, 3 Er 2.94
Ge: 0.3333 0.6667 0.9116  3 Cd 2.88, 3 Er 2.94
Ge: 0.6667 0.3333 0.0884  3 Cd 2.88, 3 Er 2.94
Ge: 0.6667 0.3333 0.5783  3 Cd 2.88, 3 Er 2.94

Results
As for the formation enthalpy at 0 K: -0.78 eV/f.u. Its total energy is -3.87 eV/atom. The energy above the most stable polymorph in this dataset is 4.38 kcal/mol of atoms. The total magnetic moment is 0.00 μB/f.u.